Record 1
The following is a DFT calculation (GGA-PBE) of crystalline ThZnAgAu at its relaxed geometry.

ΔH_f (0 K): -0.332 eV per atom
uncorrected energy: -16.1 eV/f.u.

extended XYZ file:
```
4
Lattice="0.0000 3.5013 3.5013 3.5013 0.0000 3.5013 3.5013 3.5013 0.0000" Properties=species:S:1:pos:R:3 pbc="T T T"
Th 0.0000 0.0000 0.0000
Zn 5.2520 5.2520 5.2520
Ag 3.5013 3.5013 3.5013
Au 1.7507 1.7507 1.7507
```

Record 2
The following is a DFT calculation (GGA-PBE) of crystalline Te2P2Pt at its relaxed geometry.

uncorrected energy: -22.2 eV/f.u.
uncorrected formation energy: 0.189 eV/atom

extended XYZ file:
```
5
Lattice="-1.8510 3.6689 4.0294 1.8510 -3.6689 4.0294 1.8510 3.6689 -4.0294" Properties=species:S:1:pos:R:3 pbc="T T T"
Te 0.0000 0.0000 1.8477
Te 0.0000 0.0000 6.2111
P 1.8510 1.9647 0.0000
P 0.0000 1.7042 4.0294
Pt 0.0000 3.6689 0.0000
```

Record 3
The following is a DFT calculation (GGA-PBE) of crystalline LiCu3S at its relaxed geometry.

uncorrected energy: -17.0 eV/f.u.
uncorrected formation energy: 0.260 eV/atom

extended XYZ file:
```
5
Lattice="4.3979 0.0000 0.0000 0.0000 4.3979 0.0000 0.0000 0.0000 4.3979" Properties=species:S:1:pos:R:3 pbc="T T T"
Li 0.0000 0.0000 0.0000
Cu 0.0000 2.1989 2.1989
Cu 2.1989 0.0000 2.1989
Cu 2.1989 2.1989 0.0000
S 2.1989 2.1989 2.1989
```

Record 4
The following is a DFT calculation (GGA-PBE) of crystalline NdCd4Hg4 at its relaxed geometry.

ΔH_f (0 K): -0.159 eV per atom
uncorrected energy: -11.1 eV/f.u.

extended XYZ file:
```
9
Lattice="-5.0051 5.0051 2.2020 5.0051 -5.0051 2.2020 5.0051 5.0051 -2.2020" Properties=species:S:1:pos:R:3 pbc="T T T"
Nd 0.0000 0.0000 0.0000
Cd 3.3980 0.0000 0.0000
Cd 6.6123 0.0000 0.0000
Cd 0.0000 3.3980 0.0000
Cd 0.0000 6.6123 0.0000
Hg 3.2915 3.2915 0.0000
Hg 1.7136 -1.7136 2.2020
Hg -1.7136 1.7136 2.2020
Hg 1.7136 1.7136 2.2020
```

Question: Among the records above, which one has the highest uncorrected energy?
Answer: NdCd4Hg4

Question: What is the uncorrected energy in the second record?
Answer: -22.2 eV/f.u.